Below is crystalline VS2N2 at its relaxed geometry, with properties calculated at the PBE level.

Results
- Symmetry: P4/mmm (123)
- Offset from the most stable computed form: 915 meV/atom
- DFT total energy: -6.159 eV/atom
- Formation energy from raw total energies: 0.646 eV per atom

Cell: 3.662 3.662 5.374 Å, 90.00 90.00 90.00°
Sites, in units of the cell vectors:
1 V 0.000 0.000 0.000
2 S 0.000 0.000 0.500
3 S 0.500 0.500 0.500
4 N 0.000 0.500 0.000
5 N 0.500 0.000 0.000